Record 1
YCoSiAg: optimized geometry, PBE-GGA.

```
YCoSiAg
1.0
0.0000 3.2619 3.2619
3.2619 0.0000 3.2619
3.2619 3.2619 0.0000
Y Co Si Ag
1 1 1 1
direct
0.0000 0.0000 0.0000
0.5000 0.5000 0.5000
0.2500 0.2500 0.2500
0.7500 0.7500 0.7500
```

Summary:
E above lowest polymorph   39 meV per atom
Energy   -0.20151 Ha/atom
V   17.354 Å³/atom
SG   F-43m (216)

Record 2
SmNbPt: optimized geometry, PBE-GGA.

```
SmNbPt
1.0
0.0000 3.3093 3.3093
3.3093 0.0000 3.3093
3.3093 3.3093 0.0000
Sm Nb Pt
1 1 1
direct
0.0000 0.0000 0.0000
0.7500 0.7500 0.7500
0.2500 0.2500 0.2500
```

Summary:
ΔE_f   0.703 eV per atom
E above lowest polymorph   777 meV per atom
Energy   -0.22970 Ha/atom
V   24.161 Å³/atom
SG   F-43m (216)

Record 3
CuSnIrPd: optimized geometry, PBE-GGA.

```
CuSnIrPd
1.0
0.0000 3.1615 3.1615
3.1615 0.0000 3.1615
3.1615 3.1615 0.0000
Cu Sn Ir Pd
1 1 1 1
direct
0.0000 0.0000 0.0000
0.7500 0.7500 0.7500
0.5000 0.5000 0.5000
0.2500 0.2500 0.2500
```

Summary:
E above lowest polymorph   0 meV per atom
Energy   -0.20261 Ha/atom
V   15.800 Å³/atom
SG   F-43m (216)

Record 4
RbBi2Au2: optimized geometry, PBE-GGA.

```
RbBi2Au2
1.0
-2.4539 2.4539 6.1885
2.4539 -2.4539 6.1885
2.4539 2.4539 -6.1885
Rb Bi Au
1 2 2
direct
0.0000 0.0000 0.0000
0.2500 0.7500 0.5000
0.7500 0.2500 0.5000
0.3894 0.3894 0.0000
0.6106 0.6106 0.0000
```

Summary:
E above lowest polymorph   0 meV per atom
Energy   -0.12160 Ha/atom
V   29.811 Å³/atom
SG   I4/mmm (139)

Record 5
SiGeMo4C2: optimized geometry, PBE-GGA.

```
SiGeMo4C2
1.0
3.1190 0.0000 0.0000
-1.5595 2.7011 0.0000
0.0000 0.0000 12.5655
Si Ge Mo C
1 1 4 2
direct
0.0000 0.0000 0.0000
0.3333 0.6667 0.5000
0.0000 0.0000 0.3353
0.0000 0.0000 0.6647
0.3333 0.6667 0.1522
0.3333 0.6667 0.8478
0.6667 0.3333 0.2463
0.6667 0.3333 0.7537
```

Summary:
Energy   -0.33351 Ha/atom
V   13.233 Å³/atom
SG   P-6m2 (187)

Record 6
YTlZnCo: optimized geometry, PBE-GGA.

```
YTlZnCo
1.0
0.0000 3.3681 3.3681
3.3681 0.0000 3.3681
3.3681 3.3681 0.0000
Y Tl Zn Co
1 1 1 1
direct
0.0000 0.0000 0.0000
0.5000 0.5000 0.5000
0.2500 0.2500 0.2500
0.7500 0.7500 0.7500
```

Summary:
E above lowest polymorph   0 meV per atom
Energy   -0.15719 Ha/atom
V   19.105 Å³/atom
SG   F-43m (216)

Record 7
Sr2MoPt: optimized geometry, PBE-GGA.

```
Sr2MoPt
1.0
0.0000 3.6673 3.6673
3.6673 0.0000 3.6673
3.6673 3.6673 0.0000
Sr Mo Pt
2 1 1
direct
0.0000 0.0000 0.0000
0.2500 0.2500 0.2500
0.7500 0.7500 0.7500
0.5000 0.5000 0.5000
```

Summary:
Energy   -0.16576 Ha/atom
V   24.660 Å³/atom
SG   F-43m (216)

Record 8
W3SN2: optimized geometry, PBE-GGA.

```
W3SN2
1.0
3.2590 0.0000 0.0000
-1.6295 2.8224 0.0000
0.0000 0.0000 15.6311
W S N
6 2 4
direct
0.0000 0.0000 0.0000
0.0000 0.0000 0.5000
0.3333 0.6667 0.1384
0.3333 0.6667 0.3616
0.6667 0.3333 0.6384
0.6667 0.3333 0.8616
0.0000 0.0000 0.2500
0.0000 0.0000 0.7500
0.3333 0.6667 0.5690
0.3333 0.6667 0.9310
0.6667 0.3333 0.0690
0.6667 0.3333 0.4310
```

Summary:
Energy   -0.35437 Ha/atom
V   11.982 Å³/atom
SG   P6_3/mmc (194)

Record 9
PtN: optimized geometry, PBE-GGA.

```
PtN
1.0
5.6856 0.0000 0.0000
0.0000 2.8060 0.0000
0.0000 0.0000 5.9328
Pt N
4 4
direct
0.0000 0.0000 0.0000
0.2500 0.5000 0.5001
0.5000 0.0000 0.0000
0.7500 0.5000 0.4999
0.2500 0.0000 0.2530
0.2500 0.5000 0.8471
0.7500 0.0000 0.7470
0.7500 0.5000 0.1529
```

Summary:
Energy   -0.23242 Ha/atom
V   11.831 Å³/atom
SG   Pmma (51)

Record 10
NdErH2I4: optimized geometry, PBE-GGA.

```
NdErH2I4
1.0
4.0542 0.0000 0.0000
-2.0271 3.5111 0.0000
0.0000 0.0000 16.6193
Nd Er H I
1 1 2 4
direct
0.0000 0.0000 0.0000
0.0000 0.0000 0.5000
0.3333 0.6667 0.0000
0.6667 0.3333 0.5000
0.3333 0.6667 0.3753
0.3333 0.6667 0.6247
0.6667 0.3333 0.1319
0.6667 0.3333 0.8681
```

Summary:
Energy   -0.14592 Ha/atom
V   29.571 Å³/atom
SG   P-6m2 (187)

Record 11
RbScIr: optimized geometry, PBE-GGA.

```
RbScIr
1.0
0.0000 3.3480 3.3480
3.3480 0.0000 3.3480
3.3480 3.3480 0.0000
Rb Sc Ir
1 1 1
direct
0.0000 0.0000 0.0000
0.2500 0.2500 0.2500
0.7500 0.7500 0.7500
```

Summary:
E above lowest polymorph   966 meV per atom
Energy   -0.14051 Ha/atom
V   25.020 Å³/atom
SG   F-43m (216)

Record 12
AcCuSi: optimized geometry, PBE-GGA.

```
AcCuSi
1.0
0.0000 3.5385 3.5385
3.5385 0.0000 3.5385
3.5385 3.5385 0.0000
Ac Cu Si
1 1 1
direct
0.0000 0.0000 0.0000
0.7500 0.7500 0.7500
0.2500 0.2500 0.2500
```

Summary:
E above lowest polymorph   950 meV per atom
Energy   -0.14680 Ha/atom
V   29.537 Å³/atom
SG   F-43m (216)